1.
Computed, not measured: an optimized crystal structure of YBePt3 at the PBE-GGA level of DFT.

Cell lengths 5.7223, 4.0228, 7.5653 Å; angles 90.00, 108.78, 90.00 degrees
With the nearest neighbours (Å) after each atom.
Atoms (fractional coordinates):
Y: 0.0000 0.0000 0.0000  11 Pt 2.87-3.01
Y: 0.2871 0.0000 0.5054  8 Pt 2.85-3.19, 3 Be 3.09-3.11
Be: 0.6407 0.0000 0.2672  6 Pt 2.23-2.50
Be: 0.6814 0.5000 0.4749  5 Pt 2.24-2.35
Pt: 0.1588 0.5000 0.7675  6 Pt 2.76-2.96, 1 Be 2.91, 4 Y 3.00-3.07
Pt: 0.3674 0.5000 0.2021  3 Be 2.26-2.50
Pt: 0.4835 0.0000 0.9562  1 Be 2.23
Pt: 0.6416 0.5000 0.7668  1 Be 2.29
Pt: 0.8309 0.0000 0.5832  3 Be 2.24-2.29
Pt: 0.8837 0.5000 0.2487  3 Be 2.35-2.47

Magnetization, μB/f.u.: 0.00
Crystal system: monoclinic
Formation energy, meV/atom: -930
Energy above the most stable polymorph in this dataset, kJ/mol of atoms: 2.5
Density of states at the Fermi level, states/eV per cell: 2.88

2.
Computed, not measured: an optimized crystal structure of ZrTcSbP2 at the PBE-GGA level of DFT.

Cell lengths 4.4694, 4.4694, 5.6137 Å; angles 90.00, 90.00, 90.00 degrees
With the nearest neighbours (Å) after each atom.
Atoms (fractional coordinates):
Zr: 0.0000 0.0000 0.0000  4 Sb 3.16
Tc: 0.5000 0.5000 0.5000  4 P 2.23
Sb: 0.5000 0.5000 0.0000  2 Tc 2.81
P: 0.0000 0.5000 0.5000  2 Tc 2.23
P: 0.5000 0.0000 0.5000  2 Tc 2.23

Magnetization, μB/f.u.: 0.00
Crystal system: tetragonal
Raw formation energy, meV/atom: 370
Density of states at the Fermi level, states/eV per cell: 5.05

3.
Computed, not measured: an optimized crystal structure of BaSr2Mg2In2 at the PBE-GGA level of DFT.

Cell lengths 11.0832, 11.0832, 11.0832 Å; angles 27.37, 27.37, 27.37 degrees
With the nearest neighbours (Å) after each atom.
Atoms (fractional coordinates):
Ba: 0.0000 0.0000 0.0000  6 Mg 3.81, 6 In 3.93, 2 Sr 4.11
Sr: 0.1286 0.1286 0.1286  3 In 3.43, 3 Mg 3.52
Sr: 0.8714 0.8714 0.8714  3 In 3.43, 3 Mg 3.52
Mg: 0.4056 0.4056 0.4056  3 In 3.03
Mg: 0.5944 0.5944 0.5944  3 In 3.03
In: 0.2549 0.2549 0.2549  3 Mg 3.03
In: 0.7451 0.7451 0.7451  3 Mg 3.03

Magnetization, μB/f.u.: 0.00
Crystal system: trigonal
Formation energy, meV/atom: -260
Density of states at the Fermi level, states/eV per cell: 5.29

4.
Computed, not measured: an optimized crystal structure of Sc2ReSn at the PBE-GGA level of DFT.

Cell lengths 10.1628, 10.1628, 10.1628 Å; angles 18.31, 18.31, 18.31 degrees
With the nearest neighbours (Å) after each atom.
Atoms (fractional coordinates):
Sc: 0.1014 0.1014 0.1014  3 Re 2.71
Sc: 0.8986 0.8986 0.8986  3 Re 2.71
Re: 0.5000 0.5000 0.5000  6 Sc 2.71
Sn: 0.0000 0.0000 0.0000  2 Sc 3.04, 6 Sn 3.23

Magnetization, μB/f.u.: 0.00
Crystal system: trigonal
Formation energy, meV/atom: 138
Density of states at the Fermi level, states/eV per cell: 5.08

5.
Computed, not measured: an optimized crystal structure of EuPu2Mn at the PBE-GGA level of DFT.

Cell lengths 6.0702, 6.0702, 6.0702 Å; angles 45.48, 45.48, 45.48 degrees
With the nearest neighbours (Å) after each atom.
Atoms (fractional coordinates):
Eu: 0.0000 0.0000 0.0000  8 Pu 3.31-3.53
Pu: 0.2169 0.2169 0.2169  3 Mn 2.83, 3 Pu 3.16
Pu: 0.7831 0.7831 0.7831  3 Mn 2.83, 3 Pu 3.16
Mn: 0.5000 0.5000 0.5000  6 Pu 2.83

Magnetization, μB/f.u.: 16.68
Crystal system: trigonal
Formation energy, meV/atom: 346
Energy above the most stable polymorph in this dataset, kJ/mol of atoms: 16.3
Density of states at the Fermi level, states/eV per cell: 13.69

6.
Computed, not measured: an optimized crystal structure of HfAg2PtC at the PBE-GGA level of DFT.

Cell lengths 5.2658, 5.2658, 3.8690 Å; angles 90.00, 90.00, 90.00 degrees
With the nearest neighbours (Å) after each atom.
Atoms (fractional coordinates):
Hf: 0.0000 0.0000 0.0000  2 C 1.93
Ag: 0.0000 0.5000 0.0000  2 Hf 2.63
Ag: 0.5000 0.0000 0.0000  2 Hf 2.63
Pt: 0.5000 0.5000 0.5000  8 Ag 3.27
C: 0.0000 0.0000 0.5000  2 Hf 1.93

Magnetization, μB/f.u.: 0.00
Crystal system: tetragonal
Formation energy, meV/atom: 1564
Energy above the most stable polymorph in this dataset, kJ/mol of atoms: 0.0
Density of states at the Fermi level, states/eV per cell: 2.77

7.
Computed, not measured: an optimized crystal structure of DyPuRh at the PBE-GGA level of DFT.

Cell lengths 6.6442, 7.0334, 7.1134 Å; angles 90.00, 112.72, 90.00 degrees
With the nearest neighbours (Å) after each atom.
Atoms (fractional coordinates):
Dy: 0.2091 0.1790 0.0718  4 Rh 2.82-3.09
Dy: 0.2091 0.3210 0.5718  4 Rh 2.82-3.09
Dy: 0.7909 0.6790 0.4282  4 Rh 2.82-3.09
Dy: 0.7909 0.8210 0.9282  4 Rh 2.82-3.09
Pu: 0.3049 0.6659 0.9723  3 Rh 2.73-2.87
Pu: 0.3049 0.8341 0.4723  3 Rh 2.73-2.87
Pu: 0.6951 0.1659 0.5277  3 Rh 2.73-2.87
Pu: 0.6951 0.3341 0.0277  3 Rh 2.73-2.87
Rh: 0.0720 0.5512 0.2196  3 Pu 2.73-2.87, 3 Dy 2.82-2.94, 1 Rh 2.98
Rh: 0.0720 0.9488 0.7196  3 Pu 2.73-2.87, 3 Dy 2.82-2.94, 1 Rh 2.98
Rh: 0.9280 0.0512 0.2804  3 Pu 2.73-2.87, 3 Dy 2.82-2.94, 1 Rh 2.98
Rh: 0.9280 0.4488 0.7804  3 Pu 2.73-2.87, 3 Dy 2.82-2.94, 1 Rh 2.98

Magnetization, μB/f.u.: 6.03
Crystal system: monoclinic
Formation energy, meV/atom: -351
Energy above the most stable polymorph in this dataset, kJ/mol of atoms: 0.0
Density of states at the Fermi level, states/eV per cell: 32.35

8.
Computed, not measured: an optimized crystal structure of Rb2ZrGeSe5 at the PBE-GGA level of DFT.

Cell lengths 10.4791, 10.4791, 14.7232 Å; angles 90.00, 90.00, 158.07 degrees
With the nearest neighbours (Å) after each atom.
Atoms (fractional coordinates):
Rb: 0.1231 0.8769 0.5000  6 Se 3.45-3.54
Rb: 0.1356 0.8644 0.8610  7 Se 3.45-3.83
Rb: 0.8644 0.1356 0.3610  7 Se 3.45-3.83
Rb: 0.8769 0.1231 0.0000  6 Se 3.45-3.54
Zr: 0.2078 0.7922 0.2074  3 Se 2.47-2.67
Zr: 0.7922 0.2078 0.7074  3 Se 2.47-2.67
Ge: 0.4292 0.5708 0.5912  4 Se 2.28-2.52
Ge: 0.5708 0.4292 0.0912  4 Se 2.28-2.52
Se: 0.0598 0.9402 0.1952  2 Ge 2.52
Se: 0.3085 0.6915 0.8255  2 Zr 2.67
Se: 0.3127 0.6873 0.5709  1 Ge 2.42
Se: 0.3260 0.6740 0.1775  1 Zr 2.47
Se: 0.4872 0.5128 0.4594  1 Ge 2.28
Se: 0.5128 0.4872 0.9594  1 Ge 2.28
Se: 0.6740 0.3260 0.6775  1 Zr 2.47
Se: 0.6873 0.3127 0.0709  1 Ge 2.42
Se: 0.6915 0.3085 0.3255  2 Zr 2.67
Se: 0.9402 0.0598 0.6952  2 Ge 2.52

Magnetization, μB/f.u.: 0.00
Crystal system: orthorhombic
Raw formation energy, meV/atom: -997
Density of states at the Fermi level, states/eV per cell: 0.18

9.
Computed, not measured: an optimized crystal structure of Rb2TlGa2 at the PBE-GGA level of DFT.

Cell lengths 7.6393, 7.6393, 6.0588 Å; angles 90.00, 90.00, 90.00 degrees
With the nearest neighbours (Å) after each atom.
Atoms (fractional coordinates):
Rb: 0.1858 0.3142 0.0000  6 Ga 3.69-3.86, 5 Rb 3.94-4.01, 4 Tl 4.12
Rb: 0.3142 0.8142 0.0000  6 Ga 3.69-3.86, 5 Rb 3.94-4.01, 4 Tl 4.12
Rb: 0.6858 0.1858 0.0000  6 Ga 3.69-3.86, 5 Rb 3.94-4.01, 4 Tl 4.12
Rb: 0.8142 0.6858 0.0000  6 Ga 3.69-3.86, 5 Rb 3.94-4.01, 4 Tl 4.12
Tl: 0.0000 0.0000 0.5000  4 Ga 3.05
Tl: 0.5000 0.5000 0.5000  4 Ga 3.05
Ga: 0.1198 0.6198 0.5000  1 Ga 2.59
Ga: 0.3802 0.1198 0.5000  1 Ga 2.59
Ga: 0.6198 0.8802 0.5000  1 Ga 2.59
Ga: 0.8802 0.3802 0.5000  1 Ga 2.59

Magnetization, μB/f.u.: 0.00
Crystal system: tetragonal
Formation energy, meV/atom: 63
Density of states at the Fermi level, states/eV per cell: 8.54

10.
Computed, not measured: an optimized crystal structure of LiCu6OF11 at the PBE-GGA level of DFT.

Cell lengths 4.7973, 5.6886, 8.3622 Å; angles 86.72, 83.27, 83.71 degrees
With the nearest neighbours (Å) after each atom.
Atoms (fractional coordinates):
Li: 0.0000 0.0000 0.0000  4 F 1.88-1.95
Cu: 0.2064 0.7230 0.4055  4 F 1.91-1.97
Cu: 0.2132 0.0652 0.6920  4 F 1.91-1.98
Cu: 0.2173 0.4035 0.0385  1 O 1.85, 3 F 1.98-2.01
Cu: 0.5579 0.7601 0.0858  1 O 1.82, 1 F 1.93
Cu: 0.7043 0.2280 0.3783  4 F 1.92-1.97
Cu: 0.7156 0.5664 0.7286  1 O 1.87, 3 F 1.96-1.99
O: 0.4961 0.5705 0.9282  3 Cu 1.82-1.87
F: 0.0061 0.3327 0.8115  2 Cu 1.98
F: 0.3895 0.0776 0.9844  1 Li 1.95, 2 Cu 2.00-2.07
F: 0.4198 0.4548 0.2907  2 Cu 1.95-1.97
F: 0.4367 0.7766 0.6204  2 Cu 1.94-1.96
F: 0.4912 0.9117 0.2891  2 Cu 1.93-1.96
F: 0.4944 0.2575 0.5923  2 Cu 1.91-1.95
F: 0.9215 0.2297 0.1629  1 Li 1.92, 2 Cu 1.97-1.98
F: 0.9275 0.5332 0.5108  2 Cu 1.91-1.99
F: 0.9394 0.8783 0.8043  1 Li 1.88, 1 Cu 1.91
F: 0.9848 0.6994 0.1165  1 Li 1.92, 2 Cu 2.01-2.08
F: 0.9941 0.0197 0.4695  2 Cu 1.92-1.94

Magnetization, μB/f.u.: 4.01
Crystal system: triclinic
Raw formation energy, meV/atom: -1514
Energy above the most stable polymorph in this dataset, kJ/mol of atoms: 1.3
Density of states at the Fermi level, states/eV per cell: 5.67

11.
Computed, not measured: an optimized crystal structure of SmHfSc2P4 at the PBE-GGA level of DFT.

Cell lengths 6.5925, 3.8295, 6.6457 Å; angles 90.00, 109.32, 90.00 degrees
With the nearest neighbours (Å) after each atom.
Atoms (fractional coordinates):
Sm: 0.0000 0.0000 0.0000  6 P 2.78-2.79
Hf: 0.0000 0.5000 0.5000  6 P 2.68-2.69
Sc: 0.5000 0.0000 0.5000  6 P 2.62-2.63
Sc: 0.5000 0.5000 0.0000  6 P 2.73
P: 0.2538 0.0000 0.7389  3 Sc 2.62-2.73, 2 Hf 2.69, 1 Sm 2.78
P: 0.2629 0.5000 0.2672  3 Sc 2.63-2.73, 1 Hf 2.68, 2 Sm 2.79
P: 0.7371 0.5000 0.7328  3 Sc 2.63-2.73, 1 Hf 2.68, 2 Sm 2.79
P: 0.7462 0.0000 0.2611  3 Sc 2.62-2.73, 2 Hf 2.69, 1 Sm 2.78

Magnetization, μB/f.u.: 0.00
Crystal system: monoclinic
Formation energy, meV/atom: -1442
Density of states at the Fermi level, states/eV per cell: 1.41

12.
Computed, not measured: an optimized crystal structure of K2GaHg at the PBE-GGA level of DFT.

Cell lengths 7.4852, 7.4852, 7.4852 Å; angles 100.95, 100.95, 128.31 degrees
With the nearest neighbours (Å) after each atom.
Atoms (fractional coordinates):
K: 0.1218 0.1250 0.4968  2 K 3.26, 2 Hg 3.44, 2 Ga 3.49
K: 0.3750 0.8782 0.0032  2 K 3.26, 2 Hg 3.44, 2 Ga 3.49
K: 0.6282 0.6250 0.5032  2 K 3.26, 2 Hg 3.44, 2 Ga 3.49
K: 0.8750 0.3718 0.9968  2 K 3.26, 2 Hg 3.44, 2 Ga 3.49
Ga: 0.2500 0.7500 0.5000  2 Hg 3.26, 4 K 3.49
Ga: 0.5000 0.5000 0.0000  2 Hg 3.26, 4 K 3.49
Hg: 0.0000 0.0000 0.0000  2 Ga 3.26, 4 K 3.44
Hg: 0.7500 0.2500 0.5000  2 Ga 3.26, 4 K 3.44

Magnetization, μB/f.u.: 0.00
Crystal system: tetragonal
Formation energy, meV/atom: 103
Energy above the most stable polymorph in this dataset, kJ/mol of atoms: 4.8
Density of states at the Fermi level, states/eV per cell: 6.44

13.
Computed, not measured: an optimized crystal structure of CsPPbS2 at the PBE-GGA level of DFT.

Cell lengths 5.4683, 5.4683, 5.4386 Å; angles 90.00, 90.00, 90.00 degrees
With the nearest neighbours (Å) after each atom.
Atoms (fractional coordinates):
Cs: 0.0000 0.0000 0.0000  8 S 3.86, 4 P 3.87
P: 0.5000 0.5000 0.0000  2 Pb 2.72
Pb: 0.5000 0.5000 0.5000  2 P 2.72, 4 S 2.73
S: 0.0000 0.5000 0.5000  2 Pb 2.73
S: 0.5000 0.0000 0.5000  2 Pb 2.73

Magnetization, μB/f.u.: 2.19
Crystal system: tetragonal
Raw formation energy, meV/atom: 165
Energy above the most stable polymorph in this dataset, kJ/mol of atoms: 0.0
Density of states at the Fermi level, states/eV per cell: 5.00

14.
Computed, not measured: an optimized crystal structure of Pd6Pt12Rh at the PBE-GGA level of DFT.

Cell lengths 7.3987, 7.3987, 7.3987 Å; angles 110.93, 110.93, 110.93 degrees
With the nearest neighbours (Å) after each atom.
Atoms (fractional coordinates):
Pd: 0.0264 0.1836 0.2895  7 Pt 2.78-2.82, 4 Pd 2.79-2.80, 1 Rh 2.80
Pd: 0.1836 0.2895 0.0264  7 Pt 2.78-2.82, 4 Pd 2.79-2.80, 1 Rh 2.80
Pd: 0.2895 0.0264 0.1836  7 Pt 2.78-2.82, 4 Pd 2.79-2.80, 1 Rh 2.80
Pd: 0.7105 0.9736 0.8164  7 Pt 2.78-2.82, 4 Pd 2.79-2.80, 1 Rh 2.80
Pd: 0.8164 0.7105 0.9736  7 Pt 2.78-2.82, 4 Pd 2.79-2.80, 1 Rh 2.80
Pd: 0.9736 0.8164 0.7105  7 Pt 2.78-2.82, 4 Pd 2.79-2.80, 1 Rh 2.80
Pt: 0.0752 0.5494 0.8641  8 Pt 2.77-2.82, 4 Pd 2.79-2.81
Pt: 0.1359 0.9248 0.4506  8 Pt 2.77-2.82, 4 Pd 2.79-2.81
Pt: 0.2401 0.6581 0.6058  8 Pt 2.77-2.83, 1 Rh 2.78, 3 Pd 2.78-2.82
Pt: 0.3419 0.3942 0.7599  8 Pt 2.77-2.83, 1 Rh 2.78, 3 Pd 2.78-2.82
Pt: 0.3942 0.7599 0.3419  8 Pt 2.77-2.83, 1 Rh 2.78, 3 Pd 2.78-2.82
Pt: 0.4506 0.1359 0.9248  8 Pt 2.77-2.82, 4 Pd 2.79-2.81
Pt: 0.5494 0.8641 0.0752  8 Pt 2.77-2.82, 4 Pd 2.79-2.81
Pt: 0.6058 0.2401 0.6581  8 Pt 2.77-2.83, 1 Rh 2.78, 3 Pd 2.78-2.82
Pt: 0.6581 0.6058 0.2401  8 Pt 2.77-2.83, 1 Rh 2.78, 3 Pd 2.78-2.82
Pt: 0.7599 0.3419 0.3942  8 Pt 2.77-2.83, 1 Rh 2.78, 3 Pd 2.78-2.82
Pt: 0.8641 0.0752 0.5494  8 Pt 2.77-2.82, 4 Pd 2.79-2.81
Pt: 0.9248 0.4506 0.1359  8 Pt 2.77-2.82, 4 Pd 2.79-2.81
Rh: 0.5000 0.5000 0.5000  6 Pt 2.78, 6 Pd 2.80

Magnetization, μB/f.u.: 0.03
Crystal system: trigonal
Formation energy, meV/atom: -22
Density of states at the Fermi level, states/eV per cell: 40.19

15.
Computed, not measured: an optimized crystal structure of Li2HoAuO4 at the PBE-GGA level of DFT.

Cell lengths 6.0910, 6.0910, 6.7311 Å; angles 116.48, 116.48, 88.80 degrees
With the nearest neighbours (Å) after each atom.
Atoms (fractional coordinates):
Li: 0.0000 0.0000 0.0000  4 O 2.12-2.25
Li: 0.0000 0.0000 0.5000  4 O 2.12-2.25
Li: 0.0000 0.5000 0.0000  4 O 2.14
Li: 0.5000 0.0000 0.5000  4 O 2.14
Ho: 0.0000 0.5000 0.5000  6 O 2.26-2.32
Ho: 0.5000 0.0000 0.0000  6 O 2.26-2.32
Au: 0.5000 0.5000 0.0000  4 O 2.06-2.07
Au: 0.5000 0.5000 0.5000  4 O 2.06-2.07
O: 0.2147 0.2289 0.9004  1 Au 2.07, 2 Li 2.12-2.14, 1 Ho 2.26
O: 0.2253 0.7023 0.9403  1 Au 2.06, 2 Li 2.14-2.25, 1 Ho 2.26
O: 0.2289 0.2147 0.4004  1 Au 2.07, 2 Li 2.12-2.14, 1 Ho 2.26
O: 0.2977 0.7747 0.5597  1 Au 2.06, 2 Li 2.14-2.25, 1 Ho 2.26
O: 0.7023 0.2253 0.4403  1 Au 2.06, 2 Li 2.14-2.25, 1 Ho 2.26
O: 0.7711 0.7853 0.5996  1 Au 2.07, 2 Li 2.12-2.14, 1 Ho 2.26
O: 0.7747 0.2977 0.0597  1 Au 2.06, 2 Li 2.14-2.25, 1 Ho 2.26
O: 0.7853 0.7711 0.0996  1 Au 2.07, 2 Li 2.12-2.14, 1 Ho 2.26

Magnetization, μB/f.u.: 0.00
Crystal system: monoclinic
Raw formation energy, meV/atom: -1844
Density of states at the Fermi level, states/eV per cell: 0.00

16.
Computed, not measured: an optimized crystal structure of CeDy5As6 at the PBE-GGA level of DFT.

Cell lengths 7.1577, 7.1577, 7.1620 Å; angles 99.60, 99.60, 119.99 degrees
With the nearest neighbours (Å) after each atom.
Atoms (fractional coordinates):
Ce: 0.0000 0.0000 0.0000  6 As 2.93
Dy: 0.1663 0.8337 0.5000  6 As 2.92
Dy: 0.3333 0.6667 0.0000  6 As 2.92-2.93
Dy: 0.5000 0.5000 0.5000  6 As 2.92
Dy: 0.6667 0.3333 0.0000  6 As 2.92-2.93
Dy: 0.8337 0.1663 0.5000  6 As 2.92
As: 0.0838 0.4180 0.2513  5 Dy 2.92-2.93, 1 Ce 2.93
As: 0.2510 0.2510 0.7501  5 Dy 2.92, 1 Ce 2.93
As: 0.4180 0.0838 0.2513  5 Dy 2.92-2.93, 1 Ce 2.93
As: 0.5820 0.9162 0.7487  5 Dy 2.92-2.93, 1 Ce 2.93
As: 0.7490 0.7490 0.2499  5 Dy 2.92, 1 Ce 2.93
As: 0.9162 0.5820 0.7487  5 Dy 2.92-2.93, 1 Ce 2.93

Magnetization, μB/f.u.: 0.49
Crystal system: monoclinic
Formation energy, meV/atom: -1522
Density of states at the Fermi level, states/eV per cell: 5.74

17.
Computed, not measured: an optimized crystal structure of GaBiIrF2 at the PBE-GGA level of DFT.

Cell lengths 3.9588, 3.9588, 5.4604 Å; angles 90.00, 90.00, 90.00 degrees
With the nearest neighbours (Å) after each atom.
Atoms (fractional coordinates):
Ga: 0.0000 0.0000 0.0000  4 F 1.98
Bi: 0.5000 0.5000 0.5000  4 Ir 2.80
Ir: 0.0000 0.0000 0.5000  2 Ga 2.73, 4 Bi 2.80
F: 0.0000 0.5000 0.0000  2 Ga 1.98
F: 0.5000 0.0000 0.0000  2 Ga 1.98

Magnetization, μB/f.u.: 0.00
Crystal system: tetragonal
Raw formation energy, meV/atom: -969
Density of states at the Fermi level, states/eV per cell: 1.68